Entry from Alexandria via LeMat-Bulk: NbInCu2 after structural relaxation (PBE-GGA).

Properties
For the formation energy, the calculation gives 0.508 eV/atom.

Unit cell a=7.0438 b=7.0438 c=5.7425 alpha=52.17 beta=52.17 gamma=90.00
Positions (direct):
In: 0.7500 0.2500 0.5000
In: 0.0000 0.0000 0.0000
Nb: 0.5000 0.5000 0.0000
Nb: 0.2500 0.7500 0.5000
Cu: 0.8750 0.8712 0.7500
Cu: 0.1288 0.6250 0.2500
Cu: 0.6212 0.1250 0.2500
Cu: 0.3750 0.3788 0.7500